Record 1
# Na2H10SO5

A PBEsol-optimized structure of Na2H10SO5 (SCAN, the Alexandria database).

The structure in POSCAR format:
```
Na2H10SO5
1.0
3.173 -6.235 0.000
3.173 6.235 0.000
0.000 0.000 8.518
Na H S O
4 20 2 10
Cartesian
0.000 0.000 0.000
0.000 0.000 4.259
3.173 0.597 6.388
3.173 -0.597 2.129
2.006 3.908 1.025
2.006 3.908 3.234
2.371 4.475 6.388
2.092 1.890 0.218
2.092 1.890 4.041
3.975 4.475 6.388
4.340 3.908 1.025
4.340 3.908 3.234
2.092 -1.890 4.477
2.092 -1.890 8.300
4.253 1.890 0.218
4.253 1.890 4.041
2.006 -3.908 5.284
2.006 -3.908 7.493
2.371 -4.475 2.129
4.253 -1.890 4.477
4.253 -1.890 8.300
3.975 -4.475 2.129
4.340 -3.908 5.284
4.340 -3.908 7.493
3.173 2.371 2.129
3.173 -2.371 6.388
3.173 5.058 6.388
1.649 1.553 4.870
1.649 1.553 7.907
1.649 -1.553 0.611
1.649 -1.553 3.648
4.697 1.553 4.870
4.697 1.553 7.907
4.697 -1.553 0.611
4.697 -1.553 3.648
3.173 -5.058 2.129
```

## Properties
SG: No. 63
Fermi-level density of states, states/eV/cell: 0.00

Record 2
# NaH3SO5

A PBEsol-optimized structure of NaH3SO5 (SCAN, the Alexandria database).

The structure in POSCAR format:
```
NaH3SO5
1.0
3.862 -3.855 0.000
3.862 3.855 0.000
-3.431 0.000 7.133
Na H S O
2 6 2 10
Cartesian
2.146 3.648 3.566
3.862 -3.648 0.000
2.776 1.836 1.481
4.155 2.340 2.038
2.994 0.361 3.653
4.710 -0.361 0.087
1.061 -1.836 5.047
2.439 -2.340 5.604
1.145 0.845 5.380
2.861 -0.845 1.814
0.311 1.950 5.841
3.250 2.655 1.781
2.088 0.232 1.194
0.373 -0.232 4.760
2.247 1.323 4.519
1.898 0.231 6.615
2.026 -1.950 2.275
3.614 -0.231 3.049
3.962 -1.323 0.953
1.534 -2.655 5.347
```

## Properties
SG: No. 9
Fermi-level density of states, states/eV/cell: 0.00

Record 3
# NaH2SO4

A PBEsol-optimized structure of NaH2SO4 (SCAN, the Alexandria database).

The structure in POSCAR format:
```
NaH2SO4
1.0
6.486 0.000 0.000
0.000 10.766 0.000
0.000 0.000 10.437
Na H S O
8 16 8 32
Cartesian
0.426 0.628 1.632
0.426 4.755 1.632
2.817 6.011 6.850
2.817 10.137 6.850
3.669 0.628 3.587
3.669 4.755 3.587
6.060 6.011 8.805
6.060 10.137 8.805
1.245 6.185 4.108
1.245 9.963 4.108
1.355 1.359 7.999
1.355 4.024 7.999
1.888 6.742 2.781
1.888 9.407 2.781
1.998 0.802 9.327
1.998 4.581 9.327
4.488 6.185 1.110
4.488 9.963 1.110
4.598 1.359 7.656
4.598 4.024 7.656
5.130 6.742 2.437
5.130 9.407 2.437
5.241 0.802 6.329
5.241 4.581 6.329
0.093 8.074 6.132
1.616 8.074 0.445
1.627 2.691 5.664
3.149 2.691 0.913
3.336 8.074 9.524
4.858 8.074 4.773
4.870 2.691 9.992
6.392 2.691 4.305
0.464 2.691 2.950
0.804 6.838 5.791
0.804 9.310 5.791
0.887 6.842 0.165
0.887 9.307 0.165
0.972 2.691 6.987
1.601 0.519 8.468
1.601 4.864 8.468
1.642 5.901 3.250
1.642 10.247 3.250
2.271 8.074 1.768
2.355 1.459 5.383
2.355 3.924 5.383
2.439 1.456 0.573
2.439 3.927 0.573
2.778 8.074 8.168
3.707 2.691 2.269
4.046 6.838 9.864
4.046 9.310 9.864
4.130 6.842 5.054
4.130 9.307 5.054
4.215 2.691 8.668
4.844 0.519 7.187
4.844 4.864 7.187
4.884 5.901 1.969
4.884 10.247 1.969
5.514 8.074 3.450
5.598 1.459 10.272
5.598 3.924 10.272
5.682 1.456 4.646
5.682 3.927 4.646
6.021 8.074 7.487
```

## Properties
SG: No. 62
Fermi-level density of states, states/eV/cell: 0.00

Record 4
# NaH5SO4

A PBEsol-optimized structure of NaH5SO4 (SCAN, the Alexandria database).

The structure in POSCAR format:
```
NaH5SO4
1.0
5.885 0.000 0.000
0.000 21.005 0.000
-1.831 0.000 7.280
Na H S O
8 40 8 32
Cartesian
1.194 3.380 0.649
0.278 7.122 4.289
0.893 12.414 2.072
-0.022 19.094 5.712
4.076 1.911 1.568
3.161 8.591 5.207
3.776 13.883 2.991
2.861 17.625 6.631
-1.446 11.292 5.824
-0.530 20.216 2.185
-1.436 15.097 6.340
-0.521 16.410 2.700
-0.117 3.564 3.226
-1.032 6.939 6.865
0.176 4.345 5.029
1.092 6.157 1.389
0.299 0.821 4.996
0.773 2.257 3.112
-0.142 8.246 6.752
1.214 9.682 1.357
-0.103 0.834 7.080
0.813 9.668 3.440
1.739 0.346 1.310
0.823 10.156 4.950
1.620 15.317 1.861
0.704 16.191 5.501
2.098 14.498 0.598
1.182 17.009 4.238
2.872 3.996 3.041
1.957 6.507 6.681
3.350 4.814 1.779
2.435 5.688 5.419
3.231 10.849 2.330
2.316 20.659 5.970
3.242 11.337 3.840
4.157 20.171 0.200
2.840 11.323 5.923
4.197 12.759 0.528
3.281 18.748 4.167
3.756 20.184 2.283
2.963 14.848 5.890
3.878 16.660 2.250
5.087 14.066 0.414
4.171 17.441 4.054
4.575 4.595 4.580
5.490 5.908 0.940
4.584 0.789 5.095
5.500 9.713 1.455
0.735 13.488 5.266
1.650 18.019 1.627
0.697 11.854 6.477
1.612 19.654 2.838
2.442 1.351 4.442
3.358 9.151 0.802
2.404 2.986 5.653
3.320 7.517 2.013
-0.370 4.807 4.331
0.545 5.695 0.691
0.057 2.756 2.649
-0.859 7.746 6.289
-0.467 0.399 5.468
0.448 10.104 1.828
-0.118 13.228 4.102
0.797 18.279 0.462
0.207 14.635 6.080
1.122 16.873 2.440
1.965 1.117 0.733
1.050 9.385 4.373
1.969 14.431 1.578
1.054 17.077 5.217
1.013 3.284 6.052
1.929 7.219 2.413
2.126 13.786 4.867
3.041 17.721 1.227
3.001 3.929 2.062
2.085 6.574 5.702
3.005 11.620 2.907
2.089 19.888 6.547
2.932 4.133 4.839
3.847 6.370 1.199
3.257 2.726 6.817
4.173 7.777 3.178
3.606 10.901 5.451
4.522 20.607 1.811
4.913 13.259 0.991
3.998 18.249 4.631
3.509 15.310 6.589
4.425 16.198 2.949
```

## Properties
SG: No. 14
Fermi-level density of states, states/eV/cell: 0.00

Record 5
# NaHSO4

A PBEsol-optimized structure of NaHSO4 (SCAN, the Alexandria database).

The structure in POSCAR format:
```
NaHSO4
1.0
5.073 0.000 0.000
0.000 7.608 0.000
-3.455 0.000 8.579
Na H S O
4 4 4 16
Cartesian
-0.957 0.044 2.539
-2.685 3.760 6.828
4.302 3.849 1.751
2.575 7.564 6.040
-0.105 4.151 5.311
1.623 7.261 1.021
-0.005 0.347 7.557
1.722 3.457 3.268
1.854 1.694 0.535
0.127 2.110 4.824
1.491 5.499 3.755
-0.237 5.914 8.044
-0.779 0.978 4.772
0.948 2.827 0.483
1.011 0.491 1.105
-0.716 3.313 5.394
0.339 5.678 2.873
-1.389 5.734 7.162
-1.186 1.293 7.746
0.542 2.511 3.456
1.076 5.097 5.123
2.803 6.315 0.833
3.006 1.874 1.417
1.279 1.930 5.706
2.334 4.295 3.185
0.606 7.117 7.474
0.669 4.782 8.096
2.397 6.631 3.807
```

## Properties
SG: No. 14
Fermi-level density of states, states/eV/cell: 0.00

Record 6
# Na3SbH18S4O9

A PBEsol-optimized structure of Na3SbH18S4O9 (SCAN, the Alexandria database).

The structure in POSCAR format:
```
Na3SbH18S4O9
1.0
11.801 0.000 0.000
0.000 11.801 0.000
0.000 0.000 11.801
Na Sb H S O
12 4 72 16 36
Cartesian
0.677 5.223 6.578
1.165 1.165 1.165
2.580 3.320 8.481
3.320 8.481 2.580
4.736 10.636 7.066
5.223 6.578 0.677
6.578 0.677 5.223
7.066 4.736 10.636
8.481 2.580 3.320
9.221 9.221 9.221
10.636 7.066 4.736
11.124 11.124 11.124
0.289 11.512 5.611
5.611 0.289 11.512
6.190 6.190 6.190
11.512 5.611 0.289
0.152 8.700 9.841
0.223 8.245 7.031
0.345 8.294 1.843
0.392 9.752 8.673
0.457 9.442 2.874
0.939 1.407 10.081
1.131 5.678 3.557
1.407 10.081 0.939
1.721 6.840 4.494
1.843 0.345 8.294
1.961 6.053 9.002
2.049 2.772 5.509
2.344 10.671 11.579
2.359 8.775 5.443
2.393 4.058 11.456
2.772 5.509 2.049
2.799 7.861 11.649
2.874 0.457 9.442
3.027 11.344 3.542
3.101 3.940 5.748
3.128 6.293 7.950
3.507 7.743 5.555
3.542 3.027 11.344
3.557 1.131 5.678
3.851 9.029 11.409
3.940 5.748 3.101
4.058 11.456 2.393
4.180 4.962 10.394
4.494 1.721 6.840
4.770 6.123 9.457
4.962 10.394 4.180
5.443 2.359 8.775
5.509 2.049 2.772
5.555 3.507 7.743
5.678 3.557 1.131
5.748 3.101 3.940
6.053 9.002 1.961
6.123 9.457 4.770
6.246 9.408 9.959
6.293 7.950 3.128
6.358 8.260 8.927
6.840 4.494 1.721
7.031 0.223 8.245
7.308 7.621 10.862
7.621 10.862 7.308
7.743 5.555 3.507
7.861 11.649 2.799
7.950 3.128 6.293
8.245 7.031 0.223
8.260 8.927 6.358
8.294 1.843 0.345
8.673 0.392 9.752
8.700 9.841 0.152
8.775 5.443 2.359
8.927 6.358 8.260
9.002 1.961 6.053
9.029 11.409 3.851
9.408 9.959 6.246
9.442 2.874 0.457
9.457 4.770 6.123
9.752 8.673 0.392
9.841 0.152 8.700
9.959 6.246 9.408
10.081 0.939 1.407
10.394 4.180 4.962
10.671 11.579 2.344
10.862 7.308 7.621
11.344 3.542 3.027
11.409 3.851 9.029
11.456 2.393 4.058
11.579 2.344 10.671
11.649 2.799 7.861
1.056 6.957 10.745
1.070 4.219 1.612
1.612 1.070 4.219
1.682 10.189 6.970
4.219 1.612 1.070
4.288 10.732 10.120
4.831 7.582 7.513
4.845 4.845 4.845
6.957 10.745 1.056
6.970 1.682 10.189
7.513 4.831 7.582
7.582 7.513 4.831
10.120 4.288 10.732
10.189 6.970 1.682
10.732 10.120 4.288
10.745 1.056 6.957
0.229 3.614 8.290
0.288 1.518 10.836
0.965 6.189 4.382
0.987 8.980 2.163
1.518 10.836 0.288
2.163 0.987 8.980
2.287 3.511 6.129
2.389 5.672 8.187
2.821 8.063 4.914
3.079 3.738 10.815
3.511 6.129 2.287
3.614 8.290 0.229
3.738 10.815 3.079
4.382 0.965 6.189
4.914 2.821 8.063
4.935 5.612 10.283
5.612 10.283 4.935
5.672 8.187 2.389
6.129 2.287 3.511
6.189 4.382 0.965
6.866 11.513 7.419
6.887 8.722 9.639
7.419 6.866 11.513
8.063 4.914 2.821
8.187 2.389 5.672
8.290 0.229 3.614
8.722 9.639 6.887
8.980 2.163 0.987
9.412 11.573 9.515
9.515 9.412 11.573
9.639 6.887 8.722
10.283 4.935 5.612
10.815 3.079 3.738
10.836 0.288 1.518
11.513 7.419 6.866
11.573 9.515 9.412
```

## Properties
SG: No. 198
Fermi-level density of states, states/eV/cell: 0.00

Record 7
# Na2TeH6SO10

A PBEsol-optimized structure of Na2TeH6SO10 (SCAN, the Alexandria database).

The structure in POSCAR format:
```
Na2TeH6SO10
1.0
2.714 -5.099 0.000
2.714 5.099 0.000
-1.155 0.000 15.121
Na Te H S O
4 2 12 2 20
Cartesian
2.137 4.301 7.560
2.556 2.632 10.505
3.133 -2.632 2.945
2.714 -4.301 0.000
2.160 0.074 4.721
1.583 -0.074 12.281
-0.158 0.411 10.535
0.419 -0.411 2.975
1.025 1.202 6.638
1.701 2.146 13.370
0.448 -1.202 14.198
3.114 2.399 4.660
3.284 0.499 2.534
2.707 -0.499 10.095
2.278 -2.146 5.810
2.537 -2.399 12.221
4.598 0.027 4.864
4.021 -0.027 12.424
3.028 2.614 0.970
2.450 -2.614 8.530
1.655 2.094 0.995
0.421 0.168 3.811
-0.157 -0.168 11.372
3.065 4.012 1.461
1.321 1.859 12.462
2.214 1.996 4.446
1.299 0.244 6.418
0.722 -0.244 13.978
2.430 2.581 14.689
1.077 -2.094 8.555
2.411 0.342 10.591
3.930 1.748 1.793
1.898 -1.859 4.902
2.989 -0.342 3.031
1.637 -1.996 12.007
3.883 0.051 5.589
3.306 -0.051 13.149
3.008 -2.581 7.129
3.352 -1.748 9.353
2.487 -4.012 9.021
```

## Properties
SG: No. 9
Fermi-level density of states, states/eV/cell: 0.00

no.,final energy (Ry per atom)
1,-0.4239
2,-0.5172
3,-0.5313
4,-0.4658
5,-0.5675
6,-0.5097
7,-0.6112